# 1
VASP calculation (GGA-PBE) on a relaxed structure of K2TlHgF5.

a b c (Å): 4.5195 6.3819 7.5605
angles (deg): 114.96 107.39 90.00
Fractional coordinates of all 9 atoms:
Hg 0.5000 0.0000 0.0000
Tl 0.0000 0.5000 0.0000
F 0.6335 0.3798 0.2669
F 0.0000 0.0000 0.0000
F 0.3665 0.6202 0.7331
K 0.2107 0.2107 0.4213
K 0.7893 0.7893 0.5787
F 0.6335 0.8872 0.2669
F 0.3665 0.1128 0.7331

Computed properties:
Total magnetization: 0.00 μB/f.u.
VASP energy: -3.647 eV per atom
SG: Immm, No. 71

=====

# 2
VASP calculation (GGA-PBE) on a relaxed structure of LiCdAsS4.

a b c (Å): 7.3121 7.4625 7.4625
angles (deg): 62.39 60.66 60.66
Fractional coordinates of all 14 atoms:
S 0.7389 0.7596 0.2596
Li 0.0000 0.0000 0.5000
S 0.7349 0.7539 0.7762
S 0.7349 0.2762 0.2539
S 0.2611 0.2404 0.7404
As 0.6238 0.6262 0.1262
S 0.2651 0.7238 0.7461
S 0.2419 0.7596 0.2596
Li 0.5000 0.0000 0.5000
As 0.3762 0.3738 0.8738
Cd 0.0000 0.5000 0.5000
S 0.2651 0.2461 0.2238
S 0.7581 0.2404 0.7404
Cd 0.0000 0.0000 0.0000

Computed properties:
Total magnetization: 0.00 μB/f.u.
VASP energy: -3.731 eV per atom
SG: Imma, No. 74

=====

# 3
VASP calculation (GGA-PBE) on a relaxed structure of TmLuBeGa.

a b c (Å): 4.8459 4.8459 4.8459
angles (deg): 60.00 60.00 60.00
Fractional coordinates of all 4 atoms:
Ga 0.5000 0.5000 0.5000
Lu 0.7500 0.7500 0.7500
Tm 0.2500 0.2500 0.2500
Be 0.0000 0.0000 0.0000

Computed properties:
Total magnetization: 0.00 μB/f.u.
DFT formation energy: -0.253 eV/atom
VASP energy: -4.189 eV per atom
SG: F-43m, No. 216

=====

# 4
VASP calculation (GGA-PBE) on a relaxed structure of ErZn4Cd8.

a b c (Å): 5.6883 7.3493 7.3493
angles (deg): 81.39 67.23 67.23
Fractional coordinates of all 13 atoms:
Er 0.0000 0.0000 0.0000
Cd 0.7164 0.7836 0.7836
Cd 0.6565 0.3435 0.3435
Cd 0.5000 0.7836 0.2164
Cd 0.2836 0.2164 0.2164
Cd 0.3435 0.6565 0.6565
Zn 0.0000 0.5000 0.0000
Zn 0.5000 0.5000 0.0000
Cd 0.0000 0.6565 0.3435
Zn 0.0000 0.0000 0.5000
Cd 0.5000 0.2164 0.7836
Cd 0.0000 0.3435 0.6565
Zn 0.5000 0.0000 0.5000

Computed properties:
Total magnetization: 0.00 μB/f.u.
DFT formation energy: -0.079 eV/atom
VASP energy: -1.385 eV per atom
SG: I4/mmm, No. 139

=====

total magnetization of number 2 (LiCdAsS4)?
0.00 μB/f.u.